## P
Cd3As | Alexandria via LeMat-Bulk | PBE-GGA | relaxed; spin magnetization = 0.0 Bohr magnetons per cell; DOS at the Fermi energy = 4.12 states/eV per cell
1.0
6.267 0.000 0.000
0.000 6.920 0.000
0.000 0.000 8.609
Cd As
12 4
Direct
0.770 0.008 0.990 Cd
0.730 0.508 0.510 Cd
0.770 0.008 0.510 Cd
0.230 0.992 0.010 Cd
0.982 0.225 0.250 Cd
0.018 0.775 0.750 Cd
0.230 0.992 0.490 Cd
0.482 0.275 0.750 Cd
0.730 0.508 0.990 Cd
0.270 0.492 0.490 Cd
0.270 0.492 0.010 Cd
0.518 0.725 0.250 Cd
0.498 0.864 0.750 As
0.502 0.136 0.250 As
0.998 0.636 0.250 As
0.002 0.364 0.750 As

***

## Q
Cd3As | Alexandria via LeMat-Bulk | PBE-GGA | relaxed; spin magnetization = 0.0 Bohr magnetons per cell; DOS at the Fermi energy = 1.73 states/eV per cell
1.0
2.985 0.000 0.000
-1.493 2.585 0.000
0.000 0.000 11.557
As Cd
1 3
Direct
0.000 0.000 0.000 As
0.000 0.000 0.500 Cd
0.667 0.333 0.241 Cd
0.667 0.333 0.759 Cd

***

## R
Cd3As | Alexandria via LeMat-Bulk | PBE-GGA | relaxed; spin magnetization = 0.0 Bohr magnetons per cell; DOS at the Fermi energy = 0.91 states/eV per cell
1.0
3.176 0.000 0.000
0.000 5.619 0.000
0.000 0.000 5.057
As Cd
1 3
Direct
0.000 0.000 0.049 As
0.500 0.000 0.538 Cd
0.000 0.500 0.288 Cd
0.500 0.500 0.792 Cd

***

## S
Cd3As | Alexandria via LeMat-Bulk | PBE-GGA | relaxed; spin magnetization = 0.0 Bohr magnetons per cell; DOS at the Fermi energy = 2.18 states/eV per cell
1.0
-0.018 4.046 -3.980
-1.171 -3.897 -3.956
-5.553 0.809 0.847
Cd As
6 2
Direct
0.500 0.000 0.250 Cd
0.250 0.500 0.000 Cd
0.000 0.750 0.500 Cd
0.500 0.000 0.750 Cd
0.000 0.250 0.500 Cd
0.750 0.500 0.000 Cd
0.000 0.000 0.000 As
0.500 0.500 0.500 As

***

In terms of stability, P leads; the second structure lies 5.7 kJ/mol of atoms higher.

***

## P
Cd3As | Alexandria via LeMat-Bulk | PBE-GGA | relaxed; spin magnetization = 0.0 Bohr magnetons per cell; DOS at the Fermi energy = 1.87 states/eV per cell
1.0
4.423 0.000 0.000
0.000 5.627 0.000
0.000 0.000 7.669
As Cd
2 6
Direct
0.000 0.475 0.000 As
0.500 0.525 0.500 As
0.000 0.215 0.500 Cd
0.500 0.212 0.210 Cd
0.500 0.785 0.000 Cd
0.000 0.788 0.290 Cd
0.500 0.212 0.790 Cd
0.000 0.788 0.710 Cd

***

## Q
Cd3As | Alexandria via LeMat-Bulk | PBE-GGA | relaxed; spin magnetization = 0.0 Bohr magnetons per cell; DOS at the Fermi energy = 1.40 states/eV per cell
1.0
-3.292 2.692 0.869
-2.670 -2.514 -2.321
-1.047 -2.566 3.982
Cd As
3 1
Direct
0.000 0.500 0.519 Cd
0.500 0.500 0.069 Cd
0.000 0.000 0.069 Cd
0.500 0.000 0.676 As

***

## R
Cd3As | Alexandria via LeMat-Bulk | PBE-GGA | relaxed; spin magnetization = 0.0 Bohr magnetons per cell; DOS at the Fermi energy = 3.44 states/eV per cell
1.0
3.699 -5.851 0.000
3.699 5.851 0.000
0.000 0.000 4.703
As Cd
2 6
Direct
0.542 0.458 0.750 As
0.458 0.542 0.250 As
0.910 0.090 0.750 Cd
0.028 0.387 0.250 Cd
0.387 0.028 0.750 Cd
0.090 0.910 0.250 Cd
0.613 0.972 0.250 Cd
0.972 0.613 0.750 Cd

***

## S
Cd3As | Alexandria via LeMat-Bulk | PBE-GGA | relaxed; spin magnetization = 0.0 Bohr magnetons per cell; DOS at the Fermi energy = 1.85 states/eV per cell
1.0
5.426 -0.081 0.000
-1.293 5.271 0.000
0.000 0.000 3.070
Cd As
3 1
Direct
0.000 0.500 0.500 Cd
0.500 0.000 0.500 Cd
0.500 0.500 0.000 Cd
0.000 0.000 0.000 As

***

In terms of stability, P leads; the second structure lies 6.3 kJ/mol of atoms higher.

***

## P
Cd3AsCl | Alexandria via LeMat-Bulk | PBE-GGA | relaxed; spin magnetization = 0.0 Bohr magnetons per cell; DOS at the Fermi energy = 2.12 states/eV per cell
1.0
-2.938 -0.598 -4.320
1.619 -4.986 -0.411
-4.050 -1.560 2.970
Cl Cd As
1 3 1
Direct
0.000 0.000 0.000 Cl
0.000 0.500 0.000 Cd
0.500 0.000 0.000 Cd
0.000 0.000 0.500 Cd
0.500 0.500 0.500 As

***

## Q
Cd3AsCl | Alexandria via LeMat-Bulk | PBE-GGA | relaxed; spin magnetization = 0.0 Bohr magnetons per cell; DOS at the Fermi energy = 2.51 states/eV per cell
1.0
7.497 0.475 0.354
3.437 6.680 0.354
3.437 2.249 6.300
Cd As Cl
6 2 2
Direct
0.360 0.128 0.744 Cd
0.244 0.628 0.860 Cd
0.128 0.744 0.360 Cd
0.628 0.860 0.244 Cd
0.744 0.360 0.128 Cd
0.860 0.244 0.628 Cd
0.994 0.994 0.994 As
0.494 0.494 0.494 As
0.245 0.245 0.245 Cl
0.745 0.745 0.745 Cl

***

## R
Cd3AsCl | Alexandria via LeMat-Bulk | PBE-GGA | relaxed; spin magnetization = 0.0 Bohr magnetons per cell; DOS at the Fermi energy = 1.08 states/eV per cell
1.0
-0.166 -0.322 5.391
-0.722 -5.344 -0.341
5.352 -0.731 0.121
Cl Cd As
1 3 1
Direct
0.500 0.500 0.500 Cl
0.000 0.500 0.000 Cd
0.500 0.000 0.000 Cd
0.000 0.000 0.500 Cd
0.000 0.000 0.000 As

***

In terms of stability, Q leads; the second structure lies 7.6 kJ/mol of atoms higher.

***

## P
Cd2AsCl | Alexandria via LeMat-Bulk | PBE-GGA | relaxed; spin magnetization = 0.0 Bohr magnetons per cell; DOS at the Fermi energy = 2.05 states/eV per cell
1.0
-0.962 1.731 2.527
3.854 -2.052 2.873
3.164 3.894 -1.463
Cl As Cd
1 1 2
Direct
0.500 0.500 0.000 Cl
0.500 0.000 0.500 As
0.000 0.500 0.500 Cd
0.000 0.000 0.000 Cd

***

## Q
Cd2AsCl | Alexandria via LeMat-Bulk | PBE-GGA | relaxed; spin magnetization = 0.0 Bohr magnetons per cell; DOS at the Fermi energy = 0.84 states/eV per cell
1.0
4.150 0.000 0.000
2.075 3.594 0.000
2.075 1.198 6.990
As Cd Cl
1 2 1
Direct
0.667 0.667 0.999 As
0.275 0.275 0.175 Cd
0.073 0.073 0.780 Cd
0.485 0.485 0.546 Cl

***

## R
Cd2AsCl | Alexandria via LeMat-Bulk | PBE-GGA | relaxed; spin magnetization = 0.0 Bohr magnetons per cell; DOS at the Fermi energy = 2.26 states/eV per cell
1.0
6.884 -0.024 0.000
4.655 5.071 0.000
-5.770 -2.524 2.780
Cd Cl As
2 1 1
Direct
0.250 0.750 0.500 Cd
0.000 0.000 0.000 Cd
0.500 0.500 0.000 Cl
0.750 0.250 0.500 As

***

## S
Cd2AsCl | Alexandria via LeMat-Bulk | PBE-GGA | relaxed; spin magnetization = 0.0 Bohr magnetons per cell; DOS at the Fermi energy = 0.80 states/eV per cell
1.0
5.485 0.000 0.000
0.000 4.701 0.320
0.000 2.073 4.226
Cd Cl As
2 1 1
Direct
0.000 0.874 0.876 Cd
0.500 0.209 0.207 Cd
0.000 0.541 0.543 Cl
0.500 0.876 0.875 As

***

In terms of stability, S leads; the second structure lies 7.1 kJ/mol of atoms higher.

***

## P
Cd2AsCl | Alexandria via LeMat-Bulk | PBE-GGA | relaxed; spin magnetization = 0.0 Bohr magnetons per cell; DOS at the Fermi energy = 0.00 states/eV per cell
1.0
-2.251 -1.538 -5.496
1.650 -5.831 0.956
-6.098 -4.881 0.439
Cd As Cl
4 2 2
Direct
0.375 0.336 0.750 Cd
0.664 0.125 0.250 Cd
0.086 0.625 0.250 Cd
0.875 0.914 0.750 Cd
0.750 0.250 0.500 As
0.000 0.000 0.000 As
0.500 0.500 0.000 Cl
0.250 0.750 0.500 Cl

***

## Q
Cd2AsCl | Alexandria via LeMat-Bulk | PBE-GGA | relaxed; spin magnetization = 0.0 Bohr magnetons per cell; DOS at the Fermi energy = 1.04 states/eV per cell
1.0
-2.343 6.414 1.573
-1.660 4.440 5.161
1.516 6.112 3.074
Cl Cd As
1 2 1
Direct
0.250 0.250 0.250 Cl
0.014 0.014 0.014 Cd
0.486 0.486 0.486 Cd
0.750 0.750 0.750 As

***

## R
Cd2AsCl | Alexandria via LeMat-Bulk | PBE-GGA | relaxed; spin magnetization = 0.0 Bohr magnetons per cell; DOS at the Fermi energy = 1.41 states/eV per cell
1.0
5.355 -0.002 0.179
-0.007 5.355 -0.179
-1.627 -3.722 3.493
Cd As Cl
2 1 1
Direct
0.495 0.495 0.000 Cd
0.005 0.005 0.000 Cd
0.250 0.750 0.500 As
0.750 0.250 0.500 Cl

***

## S
Cd2AsCl | Alexandria via LeMat-Bulk | PBE-GGA | relaxed; spin magnetization = 0.0 Bohr magnetons per cell; DOS at the Fermi energy = 0.99 states/eV per cell
1.0
-5.735 2.081 -0.573
-3.771 -3.233 -3.588
3.473 0.518 5.022
As Cd Cl
1 2 1
Direct
0.226 0.726 0.500 As
0.999 0.999 0.000 Cd
0.750 0.250 0.500 Cd
0.525 0.525 0.000 Cl

***

In terms of stability, P leads; the second structure lies 10.3 kJ/mol of atoms higher.

***

## P
Cd2AsCl2 | Alexandria via LeMat-Bulk | PBE-GGA | relaxed; spin magnetization = 2.0 Bohr magnetons per cell; DOS at the Fermi energy = 0.37 states/eV per cell
1.0
-6.468 4.226 0.851
-1.963 -1.521 -7.366
-2.367 -3.912 1.439
Cl Cd As
4 4 2
Direct
0.650 0.850 0.500 Cl
0.350 0.150 0.500 Cl
0.850 0.350 0.500 Cl
0.150 0.650 0.500 Cl
0.756 0.256 0.000 Cd
0.256 0.244 0.000 Cd
0.744 0.756 0.000 Cd
0.244 0.744 0.000 Cd
0.500 0.500 0.000 As
0.000 0.000 0.000 As

***

## Q
Cd2AsCl2 | Alexandria via LeMat-Bulk | PBE-GGA | relaxed; spin magnetization = 0.0 Bohr magnetons per cell
1.0
9.345 0.000 0.000
0.000 7.972 -0.021
0.000 3.713 7.325
As Cl Cd
4 8 8
Direct
0.381 0.988 0.943 As
0.119 0.488 0.443 As
0.619 0.012 0.057 As
0.881 0.512 0.557 As
0.811 0.498 0.081 Cl
0.189 0.502 0.919 Cl
0.689 0.998 0.581 Cl
0.311 0.002 0.419 Cl
0.021 0.954 0.802 Cl
0.979 0.046 0.198 Cl
0.521 0.546 0.698 Cl
0.479 0.454 0.302 Cl
0.925 0.689 0.750 Cd
0.204 0.827 0.219 Cd
0.796 0.173 0.781 Cd
0.075 0.311 0.250 Cd
0.575 0.189 0.250 Cd
0.296 0.327 0.719 Cd
0.425 0.811 0.750 Cd
0.704 0.673 0.281 Cd

***

In terms of stability, Q leads; the second structure lies 41.1 kJ/mol of atoms higher.